An optimized crystal structure of BeTcOs2. Source: Alexandria, functional PBE.

Unit cell a=4.2897 b=4.2897 c=2.9109 alpha=90.00 beta=90.00 gamma=90.00
Closest atoms and distances in Å follow each position.
Fractional coordinates of all 4 atoms:
Tc  0.5000  0.0000  0.5000  8 Os 2.59
Be  0.0000  0.5000  0.5000  8 Os 2.59
Os  0.0000  0.0000  0.0000  4 Tc 2.59, 4 Be 2.59
Os  0.5000  0.5000  0.0000  4 Tc 2.59, 4 Be 2.59

Computed properties:
The calculation puts the density of states at the Fermi level at 3.498 states/eV/cell. The crystal system is tetragonal. The formation energy from the elements comes out at 0.277 eV/atom. Its space group is P4/mmm.